A relaxed Ni2PO crystal, computed with PBE+U.

Cell: 5.126 5.126 5.743 Å, 63.49 63.49 90.00°
Positions (direct):
Ni 0.569 0.125 0.250
Ni 0.181 0.625 0.250
Ni 0.375 0.431 0.750
Ni 0.875 0.819 0.750
O 0.500 0.500 0.000
O 0.250 0.750 0.500
P 0.000 0.000 0.000
P 0.750 0.250 0.500

Total magnetization in μB/atom: 0.749
Energy relative to the lowest polymorph listed for this composition in eV/atom: 0.0000
Space group: I-42d
E_tot in eV for the cell shown: -31.36
Crystal system: tetragonal